A geometry-optimized CePm4Tm7 structure. Source: Alexandria, functional PBE.

Lattice parameters (Å, degrees): 5.943 9.094 9.980 74.43 89.30 49.21
Sites, in units of the cell vectors:
Ce 0.000 0.000 0.000
Pm 0.669 0.588 0.272
Pm 0.331 0.412 0.728
Pm 0.883 0.860 0.728
Pm 0.117 0.140 0.272
Tm 0.711 0.541 0.918
Tm 0.289 0.459 0.082
Tm 0.066 0.186 0.629
Tm 0.934 0.814 0.371
Tm 0.525 0.717 0.568
Tm 0.500 0.000 0.000
Tm 0.475 0.283 0.432

Properties
- Calculated density: 8.2 Mg/m³
- Density of states at the Fermi level: 1.78 states/eV per atom
- Energy of formation from the pure elements: 0.15 eV/atom
- M_tot: 1.443 μB/f.u.